(1)
The following is a GGA-PBE calculation of a geometry-optimized SrCd2SnH structure, from Alexandria via LeMat-Bulk.

Computed properties:
- total magnetization (Bohr magnetons per cell) = 0.000
- symmetry = No. 123
- raw total energy (Ry per atom) = -0.17241

abc: 4.828 4.828 4.787
angles: 90.00 90.00 90.00
Element x y z (fractional)
Sr (0.000, 0.000, 0.000)
Cd (0.000, 0.500, 0.500)
Cd (0.500, 0.000, 0.500)
Sn (0.500, 0.500, 0.000)
H (0.000, 0.000, 0.500)

(2)
The following is a GGA-PBE calculation of a geometry-optimized Cd2SnTeH structure, from Alexandria via LeMat-Bulk.

Computed properties:
- total magnetization (Bohr magnetons per cell) = 0.000
- symmetry = No. 123
- raw total energy (Ry per atom) = -0.16247

abc: 5.798 5.798 3.738
angles: 90.00 90.00 90.00
Element x y z (fractional)
Cd (0.000, 0.500, 0.000)
Cd (0.500, 0.000, 0.000)
Sn (0.000, 0.000, 0.500)
Te (0.500, 0.500, 0.000)
H (0.500, 0.500, 0.500)

(3)
The following is a GGA-PBE calculation of a geometry-optimized Tl2CdSnH structure, from Alexandria via LeMat-Bulk.

Computed properties:
- total magnetization (Bohr magnetons per cell) = 0.000
- symmetry = No. 123
- raw total energy (Ry per atom) = -0.17564
- relative energy among the computed polymorphs (meV per atom) = 0

abc: 5.463 5.463 4.012
angles: 90.00 90.00 90.00
Element x y z (fractional)
Tl (0.000, 0.500, 0.000)
Tl (0.500, 0.000, 0.000)
Cd (0.000, 0.000, 0.500)
Sn (0.500, 0.500, 0.500)
H (0.000, 0.000, 0.000)

(4)
The following is a GGA-PBE calculation of a geometry-optimized Tl2CdSnH structure, from Alexandria via LeMat-Bulk.

Computed properties:
- total magnetization (Bohr magnetons per cell) = 0.000
- symmetry = No. 123
- raw total energy (Ry per atom) = -0.17353
- relative energy among the computed polymorphs (meV per atom) = 29

abc: 5.097 5.097 4.576
angles: 90.00 90.00 90.00
Element x y z (fractional)
Tl (0.000, 0.500, 0.000)
Tl (0.500, 0.000, 0.000)
Cd (0.000, 0.000, 0.500)
Sn (0.500, 0.500, 0.500)
H (0.500, 0.500, 0.000)

(5)
The following is a GGA-PBE calculation of a geometry-optimized Y2CdSnH structure, from Alexandria via LeMat-Bulk.

Computed properties:
- total magnetization (Bohr magnetons per cell) = 0.853
- symmetry = No. 123
- raw total energy (Ry per atom) = -0.34312

abc: 4.810 4.810 4.543
angles: 90.00 90.00 90.00
Element x y z (fractional)
Y (0.000, 0.500, 0.000)
Y (0.500, 0.000, 0.000)
Cd (0.000, 0.000, 0.500)
Sn (0.500, 0.500, 0.500)
H (0.000, 0.000, 0.000)

(6)
The following is a GGA-PBE calculation of a geometry-optimized ZrCdSnH2 structure, from Alexandria via LeMat-Bulk.

Computed properties:
- total magnetization (Bohr magnetons per cell) = 0.000
- symmetry = No. 8
- raw total energy (Ry per atom) = -0.30389
- relative energy among the computed polymorphs (meV per atom) = 181

abc: 5.819 5.819 5.531
angles: 113.52 113.52 31.13
Element x y z (fractional)
Zr (0.000, 0.000, 0.000)
Cd (0.436, 0.436, 0.457)
Sn (0.727, 0.727, 0.961)
H (0.393, 0.393, 0.803)
H (0.566, 0.566, 0.274)

(7)
The following is a GGA-PBE calculation of a geometry-optimized ZrCdSnH2 structure, from Alexandria via LeMat-Bulk.

Computed properties:
- total magnetization (Bohr magnetons per cell) = 0.000
- symmetry = No. 156
- raw total energy (Ry per atom) = -0.31719
- relative energy among the computed polymorphs (meV per atom) = 0

abc: 3.389 3.389 7.694
angles: 90.00 90.00 120.00
Element x y z (fractional)
Zr (0.000, 0.000, 0.000)
Cd (0.667, 0.333, 0.335)
Sn (0.333, 0.667, 0.655)
H (0.333, 0.667, 0.077)
H (0.667, 0.333, 0.932)

(8)
The following is a GGA-PBE calculation of a geometry-optimized ZrCdSnH2 structure, from Alexandria via LeMat-Bulk.

Computed properties:
- total magnetization (Bohr magnetons per cell) = 0.000
- symmetry = No. 6
- raw total energy (Ry per atom) = -0.30105
- relative energy among the computed polymorphs (meV per atom) = 220

abc: 5.099 3.168 5.421
angles: 90.00 106.87 90.00
Element x y z (fractional)
Zr (0.000, 0.000, 0.000)
Cd (0.103, 0.500, 0.529)
Sn (0.519, 0.500, 0.093)
H (0.787, 0.000, 0.647)
H (0.788, 0.500, 0.828)

- What is the total magnetization in the fifth record?
  0.853 Bohr magnetons per cell

- Which formula does entry 4 have?
  Tl2CdSnH

- Among the records above, which one has the lowest raw total energy?
  Y2CdSnH

- Which formula does entry 1 have?
  SrCd2SnH